Entry 1:
The following is a DFT calculation (PBE) of an optimized crystal structure of Li2PaTeO6.

Unit cell a=5.3545 b=5.3545 c=15.2321 alpha=90.00 beta=90.00 gamma=120.00
With the nearest neighbours (Å) after each atom.
Space group R-3 (No. 148, hexagonal axes)
Inequivalent atoms, fractional coordinates:
Li 0.0000 0.0000 0.2095  3 O 2.01
Pa 0.0000 0.0000 0.0000  6 O 2.19
Te 0.0000 0.0000 0.5000  6 O 2.07
O 0.0007 0.3638 0.7569  1 Li 2.01, 1 Te 2.07, 1 Pa 2.19

Computed properties:
* V: 12.61 A^3/atom
* total DFT energy (no corrections): -68.28 eV per formula unit
* formation energy from raw total energies: -2.21 eV/atom

Entry 2:
The following is a DFT calculation (PBE) of an optimized crystal structure of MnV5H4.

Unit cell a=10.5904 b=2.9190 c=5.8848 alpha=90.00 beta=105.47 gamma=90.00
With the nearest neighbours (Å) after each atom.
Space group C2/m (No. 12)
Inequivalent atoms, fractional coordinates:
Mn 0.0000 0.0000 0.0000  2 H 1.71
V 0.0000 0.0000 0.5000  4 H 1.83
V 0.1570 0.5000 0.8340  2 H 1.76-1.79
V 0.1805 0.5000 0.3345  1 H 1.78
H 0.0107 0.5000 0.3187  4 V 1.76-1.83
H 0.1676 0.0000 0.0872  1 Mn 1.71, 1 V 1.79

Computed properties:
* V: 8.77 A^3/atom
* total DFT energy (no corrections): -69.37 eV per formula unit

Entry 3:
The following is a DFT calculation (PBE) of an optimized crystal structure of Tb2Pr4ErTh.

Unit cell a=6.0696 b=6.0714 c=7.3650 alpha=90.00 beta=90.04 gamma=90.00
With the nearest neighbours (Å) after each atom.
Space group P2/m (No. 10)
Inequivalent atoms, fractional coordinates:
Tb 0.0000 0.0000 0.0000  8 Pr 3.53-3.54, 2 Er 3.68
Tb 0.5000 0.5000 0.5000  8 Pr 3.56, 2 Th 3.68
Pr 0.9996 0.5000 0.2469  2 Th 3.53-3.54, 4 Tb 3.54-3.56, 2 Er 3.56, 2 Pr 3.64-3.73
Pr 0.4993 0.0000 0.7534  4 Tb 3.53-3.56, 2 Th 3.54, 2 Er 3.56-3.57, 2 Pr 3.63-3.73
Er 0.0000 0.0000 0.5000  8 Pr 3.56-3.57, 2 Tb 3.68
Th 0.5000 0.5000 0.0000  8 Pr 3.53-3.54, 2 Tb 3.68

Computed properties:
* V: 33.93 A^3/atom
* total DFT energy (no corrections): -39.26 eV per formula unit
* energy of formation: 137 meV per atom

no.,total magnetic moment (μB/f.u.)
1,0.00
2,1.08
3,0.00